1.
First-principles (PBE-GGA) data for crystalline BaZnS2N at its relaxed geometry, as listed in Alexandria via LeMat-Bulk.

Unit cell a=6.147 b=6.147 c=5.400 alpha=90.00 beta=90.00 gamma=90.00
Positions (direct):
Ba 0.000 0.000 0.000
Zn 0.500 0.500 0.500
S 0.000 0.500 0.000
S 0.500 0.000 0.000
N 0.000 0.000 0.500

Computed properties:
Uncorrected energy in eV/atom: -2.949
N(E_F) in states/eV per atom: 1.361
Calculated volume in Å³ per cell: 204.06
Symmetry: P4/mmm
Energy above the most stable polymorph in this dataset in meV per atom: 1190.8
E_form (uncorrected) in kJ/mol of formula units: 486

---

2.
First-principles (PBE-GGA) data for crystalline BaZrSN2 at its relaxed geometry, as listed in Alexandria via LeMat-Bulk.

Unit cell a=4.378 b=4.378 c=5.733 alpha=90.00 beta=90.00 gamma=90.00
Positions (direct):
Ba 0.000 0.000 0.000
Zr 0.500 0.500 0.500
S 0.000 0.000 0.500
N 0.000 0.500 0.000
N 0.500 0.000 0.000

Computed properties:
Uncorrected energy in eV/atom: -4.881
N(E_F) in states/eV per atom: 0.409
Calculated volume in Å³ per cell: 109.89
Symmetry: P4/mmm
Energy above the most stable polymorph in this dataset in meV per atom: 2102.9
E_form (uncorrected) in kJ/mol of formula units: 661

---

3.
First-principles (PBE-GGA) data for crystalline BaZrSN2 at its relaxed geometry, as listed in Alexandria via LeMat-Bulk.

Unit cell a=4.366 b=4.366 c=5.205 alpha=90.00 beta=90.00 gamma=90.00
Positions (direct):
Ba 0.000 0.000 0.000
Zr 0.500 0.500 0.500
S 0.500 0.500 0.000
N 0.000 0.500 0.500
N 0.500 0.000 0.500

Computed properties:
Uncorrected energy in eV/atom: -6.983
N(E_F) in states/eV per atom: 0.719
Calculated volume in Å³ per cell: 99.21
Symmetry: P4/mmm
Energy above the most stable polymorph in this dataset in meV per atom: 0.0
E_form (uncorrected) in kJ/mol of formula units: -354

---

4.
First-principles (PBE-GGA) data for crystalline Ba3SbN at its relaxed geometry, as listed in Alexandria via LeMat-Bulk.

Unit cell a=8.590 b=8.590 c=8.590 alpha=51.48 beta=51.48 gamma=51.48
Positions (direct):
Ba 0.084 0.084 0.570
Ba 0.084 0.570 0.084
Ba 0.430 0.916 0.916
Ba 0.570 0.084 0.084
Ba 0.916 0.430 0.916
Ba 0.916 0.916 0.430
Sb 0.383 0.383 0.383
Sb 0.617 0.617 0.617
N 0.172 0.172 0.172
N 0.828 0.828 0.828

Computed properties:
Uncorrected energy in eV/atom: -4.248
N(E_F) in states/eV per atom: 0.031
Calculated volume in Å³ per cell: 358.34
Symmetry: R-3m
E_form (uncorrected) in kJ/mol of formula units: -292

---

5.
First-principles (PBE-GGA) data for crystalline Ba8SbN2 at its relaxed geometry, as listed in Alexandria via LeMat-Bulk.

Unit cell a=7.349 b=7.349 c=7.788 alpha=90.00 beta=90.00 gamma=90.00
Positions (direct):
Ba 0.248 0.248 0.211
Ba 0.248 0.248 0.789
Ba 0.248 0.752 0.211
Ba 0.248 0.752 0.789
Ba 0.752 0.248 0.211
Ba 0.752 0.248 0.789
Ba 0.752 0.752 0.211
Ba 0.752 0.752 0.789
Sb 0.500 0.500 0.500
N 0.000 0.500 0.000
N 0.500 0.000 0.000

Computed properties:
Uncorrected energy in eV/atom: -3.399
N(E_F) in states/eV per atom: 0.666
Calculated volume in Å³ per cell: 420.63
Symmetry: P4/mmm
E_form (uncorrected) in kJ/mol of formula units: -119

---

6.
First-principles (PBE-GGA) data for crystalline BaSb3N at its relaxed geometry, as listed in Alexandria via LeMat-Bulk.

Unit cell a=6.293 b=6.293 c=6.293 alpha=90.00 beta=90.00 gamma=90.00
Positions (direct):
Ba 0.000 0.000 0.000
Sb 0.000 0.000 0.500
Sb 0.000 0.500 0.000
Sb 0.500 0.000 0.000
N 0.500 0.500 0.500

Computed properties:
Uncorrected energy in eV/atom: -2.227
N(E_F) in states/eV per atom: 2.556
Calculated volume in Å³ per cell: 249.25
Symmetry: Pm-3m
Energy above the most stable polymorph in this dataset in meV per atom: 2154.9
E_form (uncorrected) in kJ/mol of formula units: 1108

---

7.
First-principles (PBE-GGA) data for crystalline BaSb3N at its relaxed geometry, as listed in Alexandria via LeMat-Bulk.

Unit cell a=5.012 b=5.012 c=5.012 alpha=90.00 beta=90.00 gamma=90.00
Positions (direct):
Ba 0.000 0.000 0.000
Sb 0.000 0.500 0.500
Sb 0.500 0.000 0.500
Sb 0.500 0.500 0.000
N 0.500 0.500 0.500

Computed properties:
Uncorrected energy in eV/atom: -4.382
N(E_F) in states/eV per atom: 0.787
Calculated volume in Å³ per cell: 125.92
Symmetry: Pm-3m
Energy above the most stable polymorph in this dataset in meV per atom: 0.0
E_form (uncorrected) in kJ/mol of formula units: 68

---

8.
First-principles (PBE-GGA) data for crystalline Ba12Sb3N5 at its relaxed geometry, as listed in Alexandria via LeMat-Bulk.

Unit cell a=15.627 b=15.627 c=15.627 alpha=109.47 beta=109.47 gamma=109.47
Positions (direct):
Ba 0.018 0.200 0.116
Ba 0.018 0.318 0.902
Ba 0.084 0.700 0.682
Ba 0.084 0.884 0.402
Ba 0.098 0.616 0.416
Ba 0.098 0.982 0.682
Ba 0.116 0.018 0.200
Ba 0.116 0.598 0.916
Ba 0.182 0.200 0.584
Ba 0.182 0.482 0.598
Ba 0.200 0.116 0.018
Ba 0.200 0.584 0.182
Ba 0.300 0.318 0.916
Ba 0.300 0.482 0.384
Ba 0.318 0.902 0.018
Ba 0.318 0.916 0.300
Ba 0.384 0.300 0.482
Ba 0.384 0.584 0.902
Ba 0.402 0.084 0.884
Ba 0.402 0.818 0.518
Ba 0.416 0.098 0.616
Ba 0.416 0.818 0.800
Ba 0.482 0.384 0.300
Ba 0.482 0.598 0.182
Ba 0.518 0.402 0.818
Ba 0.518 0.616 0.700
Ba 0.584 0.182 0.200
Ba 0.584 0.902 0.384
Ba 0.598 0.182 0.482
Ba 0.598 0.916 0.116
Ba 0.616 0.416 0.098
Ba 0.616 0.700 0.518
Ba 0.682 0.084 0.700
Ba 0.682 0.098 0.982
Ba 0.700 0.518 0.616
Ba 0.700 0.682 0.084
Ba 0.800 0.416 0.818
Ba 0.800 0.884 0.982
Ba 0.818 0.518 0.402
Ba 0.818 0.800 0.416
Ba 0.884 0.402 0.084
Ba 0.884 0.982 0.800
Ba 0.902 0.018 0.318
Ba 0.902 0.384 0.584
Ba 0.916 0.116 0.598
Ba 0.916 0.300 0.318
Ba 0.982 0.682 0.098
Ba 0.982 0.800 0.884
Sb 0.125 0.250 0.375
Sb 0.125 0.375 0.750
Sb 0.250 0.375 0.125
Sb 0.250 0.875 0.625
Sb 0.375 0.125 0.250
Sb 0.375 0.750 0.125
Sb 0.625 0.250 0.875
Sb 0.625 0.875 0.750
Sb 0.750 0.125 0.375
Sb 0.750 0.625 0.875
Sb 0.875 0.625 0.250
Sb 0.875 0.750 0.625
N 0.000 0.000 0.000
N 0.000 0.000 0.500
N 0.000 0.500 0.000
N 0.000 0.500 0.500
N 0.125 0.750 0.875
N 0.125 0.875 0.250
N 0.250 0.125 0.875
N 0.250 0.625 0.375
N 0.375 0.250 0.625
N 0.375 0.625 0.750
N 0.500 0.000 0.000
N 0.500 0.000 0.500
N 0.500 0.500 0.000
N 0.500 0.500 0.500
N 0.625 0.375 0.250
N 0.625 0.750 0.375
N 0.750 0.375 0.625
N 0.750 0.875 0.125
N 0.875 0.125 0.750
N 0.875 0.250 0.125

Computed properties:
Uncorrected energy in eV/atom: -4.452
N(E_F) in states/eV per atom: 0.200
Calculated volume in Å³ per cell: 2937.74
Symmetry: Ia-3d
E_form (uncorrected) in kJ/mol of formula units: -1155

---

9.
First-principles (PBE-GGA) data for crystalline Ba4Sb2N at its relaxed geometry, as listed in Alexandria via LeMat-Bulk.

Unit cell a=7.547 b=7.712 c=10.271 alpha=90.00 beta=109.56 gamma=90.00
Positions (direct):
Ba 0.000 0.004 0.235
Ba 0.000 0.496 0.235
Ba 0.000 0.504 0.765
Ba 0.000 0.996 0.765
Ba 0.380 0.250 0.558
Ba 0.424 0.250 0.145
Ba 0.576 0.750 0.855
Ba 0.620 0.750 0.442
Sb 0.198 0.750 0.543
Sb 0.290 0.750 0.079
Sb 0.710 0.250 0.921
Sb 0.802 0.250 0.457
N 0.226 0.250 0.299
N 0.774 0.750 0.701

Computed properties:
Uncorrected energy in eV/atom: -4.231
N(E_F) in states/eV per atom: 1.202
Calculated volume in Å³ per cell: 563.29
Symmetry: P2_1/m
Energy above the most stable polymorph in this dataset in meV per atom: 51.4
E_form (uncorrected) in kJ/mol of formula units: -516

---

10.
First-principles (PBE-GGA) data for crystalline Ba4Sb2N at its relaxed geometry, as listed in Alexandria via LeMat-Bulk.

Unit cell a=9.959 b=9.959 c=9.959 alpha=148.73 beta=148.73 gamma=44.81
Positions (direct):
Ba 0.000 0.500 0.500
Ba 0.169 0.169 0.000
Ba 0.500 0.000 0.500
Ba 0.831 0.831 0.000
Sb 0.362 0.362 0.000
Sb 0.638 0.638 0.000
N 0.000 0.000 0.000

Computed properties:
Uncorrected energy in eV/atom: -4.282
N(E_F) in states/eV per atom: 0.626
Calculated volume in Å³ per cell: 265.41
Symmetry: I4/mmm
Energy above the most stable polymorph in this dataset in meV per atom: 0.0
E_form (uncorrected) in kJ/mol of formula units: -551

---

Number 1: total magnetization 5.0 Bohr magnetons per cell. Number 2: total magnetization 0.0 Bohr magnetons per cell. Number 3: total magnetization 1.3 Bohr magnetons per cell. Number 4: total magnetization 0.0 Bohr magnetons per cell. Number 5: total magnetization 0.5 Bohr magnetons per cell. Number 6: total magnetization 0.0 Bohr magnetons per cell. Number 7: total magnetization 0.0 Bohr magnetons per cell. Number 8: total magnetization 0.0 Bohr magnetons per cell. Number 9: total magnetization 0.0 Bohr magnetons per cell. Number 10: total magnetization 0.7 Bohr magnetons per cell.